DFT (PBE) results for CePuCuHg after structural relaxation.

Cell and atoms, written as POSCAR:
```
CePuCuHg
1.0
0.000 3.525 3.525
3.525 0.000 3.525
3.525 3.525 0.000
Ce Pu Cu Hg
1 1 1 1
Direct
0.000 0.000 0.000
0.250 0.250 0.250
0.500 0.500 0.500
0.750 0.750 0.750
```

Summary:
formation energy from the elements = -0.067 eV/atom
space-group type = F-43m (216)
E_tot = -6.233 eV/atom



DFT (PBE) results for TbTm2Cd after structural relaxation.

Cell and atoms, written as POSCAR:
```
TbTm2Cd
1.0
-1.875 2.681 5.646
1.875 -2.681 5.646
1.875 2.681 -5.646
Tb Tm Cd
1 2 1
Direct
0.000 0.000 0.000
0.275 0.775 0.500
0.725 0.225 0.500
0.500 0.500 0.000
```

Summary:
formation energy from the elements = -0.147 eV/atom
excess energy over the best structure of this formula in the dataset = 0 meV per atom
space-group type = Immm (71)
E_tot = -3.769 eV/atom



DFT (PBE) results for Hf3CoB after structural relaxation.

Cell and atoms, written as POSCAR:
```
Hf3CoB
1.0
7.005 -1.605 0.000
7.005 1.605 0.000
-0.198 0.000 7.198
Hf Co B
6 2 2
Direct
0.067 0.067 0.309
0.235 0.235 0.690
0.399 0.399 0.066
0.601 0.601 0.934
0.765 0.765 0.310
0.933 0.933 0.691
0.414 0.414 0.415
0.586 0.586 0.585
0.224 0.224 0.039
0.776 0.776 0.961
```

Summary:
formation energy from the elements = -0.400 eV/atom
excess energy over the best structure of this formula in the dataset = 0 meV per atom
space-group type = C2/m (12)
E_tot = -9.129 eV/atom



DFT (PBE) results for K2AlZnAu6 after structural relaxation.

Cell and atoms, written as POSCAR:
```
K2AlZnAu6
1.0
6.962 0.000 0.000
3.471 6.057 0.000
3.460 1.999 5.878
K Al Zn Au
2 1 1 6
Direct
0.209 0.208 0.374
0.791 0.792 0.626
0.000 0.000 0.000
0.500 0.500 0.500
0.246 0.247 0.852
0.246 0.655 0.852
0.345 0.754 0.148
0.655 0.246 0.852
0.754 0.345 0.148
0.754 0.753 0.148
```

Summary:
formation energy from the elements = -0.307 eV/atom
space-group type = P-1 (2)
E_tot = -2.994 eV/atom